1.
This record from Alexandria via LeMat-Bulk describes a relaxed LiCuAsIr crystal. The functional is PBE-GGA.

a b c (Å): 4.2655 4.2655 4.2655
angles (deg): 60.00 60.00 60.00
Fractional positions:
1 Li 0.0000 0.0000 0.0000
2 Cu 0.7500 0.7500 0.7500
3 Ir 0.5000 0.5000 0.5000
4 As 0.2500 0.2500 0.2500

Computed properties:
electronic total energy: -20.275 eV/cell
magnetic moment: 0.0 Bohr magnetons per cell
volume: 54.88 Å³ per cell
ΔE_f: -18.2 kJ per mole of atoms

***

2.
This record from Alexandria via LeMat-Bulk describes a relaxed Pm2CuAs4Ir3 crystal. The functional is PBE-GGA.

a b c (Å): 4.3382 4.3382 9.9054
angles (deg): 90.00 90.00 90.00
Fractional positions:
1 As 0.5000 0.0000 0.6334
2 As 0.0000 0.0000 0.0000
3 As 0.5000 0.5000 0.0000
4 As 0.0000 0.5000 0.3666
5 Ir 0.0000 0.5000 0.1191
6 Ir 0.5000 0.0000 0.8809
7 Ir 0.0000 0.0000 0.5000
8 Pm 0.0000 0.5000 0.7501
9 Pm 0.5000 0.0000 0.2499
10 Cu 0.5000 0.5000 0.5000

Computed properties:
electronic total energy: -65.724 eV/cell
magnetic moment: 0.0 Bohr magnetons per cell
volume: 186.42 Å³ per cell
ΔE_f: -67.0 kJ per mole of atoms

***

3.
This record from Alexandria via LeMat-Bulk describes a relaxed Pr2CuAs4Ir3 crystal. The functional is PBE-GGA.

a b c (Å): 4.3797 4.3797 9.8611
angles (deg): 90.00 90.00 90.00
Fractional positions:
1 Ir 0.5000 0.0000 0.8832
2 Ir 0.0000 0.0000 0.5000
3 Ir 0.0000 0.5000 0.1168
4 As 0.0000 0.5000 0.3676
5 As 0.0000 0.0000 0.0000
6 As 0.5000 0.5000 0.0000
7 As 0.5000 0.0000 0.6324
8 Pr 0.5000 0.0000 0.2490
9 Pr 0.0000 0.5000 0.7510
10 Cu 0.5000 0.5000 0.5000

Computed properties:
electronic total energy: -65.901 eV/cell
magnetic moment: 0.0 Bohr magnetons per cell
volume: 189.16 Å³ per cell
ΔE_f: -68.2 kJ per mole of atoms

***

4.
This record from Alexandria via LeMat-Bulk describes a relaxed Cu2AsIrS crystal. The functional is PBE-GGA.

a b c (Å): 4.7973 4.5253 4.7973
angles (deg): 90.00 90.00 90.00
Fractional positions:
1 Cu 0.0000 0.0000 0.5000
2 Cu 0.5000 0.0000 0.0000
3 Ir 0.0000 0.0000 0.0000
4 As 0.0000 0.5000 0.0000
5 S 0.5000 0.5000 0.5000

Computed properties:
electronic total energy: -21.778 eV/cell
magnetic moment: 0.0 Bohr magnetons per cell
volume: 104.14 Å³ per cell